Here is a relaxed structure of TiRhSN2 from Alexandria via LeMat-Bulk. Energies are from PBE.

It has space group P4/mmm (No. 123), with a = 3.815 Å, b = 3.815 Å, c = 4.939 Å, α = 90.00°, β = 90.00° and γ = 90.00°. The distinct sites, in fractional coordinates, are Ti at (0.000, 0.000, 0.000), Rh at (0.500, 0.500, 0.500), S at (0.000, 0.000, 0.500) and N at (0.000, 0.500, 0.000).

As for the crystal system: tetragonal. Its density of states at the Fermi level is 4.77 states/eV/cell. The formation energy (no corrections) comes out at 0.58 eV/atom.


Here is a relaxed structure of TiRhSN2 from Alexandria via LeMat-Bulk. Energies are from PBE.

It has space group P4/mmm (No. 123), with a = 3.803 Å, b = 3.803 Å, c = 4.937 Å, α = 90.00°, β = 90.00° and γ = 90.00°. The distinct sites, in fractional coordinates, are Ti at (0.000, 0.000, 0.000), Rh at (0.500, 0.500, 0.500), S at (0.500, 0.500, 0.000) and N at (0.000, 0.500, 0.500).

As for the crystal system: tetragonal. Its density of states at the Fermi level is 5.42 states/eV/cell. The formation energy (no corrections) comes out at 0.74 eV/atom.


Here is a relaxed structure of TlRhSN2 from Alexandria via LeMat-Bulk. Energies are from PBE.

It has space group P4/mmm (No. 123), with a = 4.172 Å, b = 4.172 Å, c = 5.644 Å, α = 90.00°, β = 90.00° and γ = 90.00°. The distinct sites, in fractional coordinates, are Tl at (0.000, 0.000, 0.000), Rh at (0.500, 0.500, 0.500), S at (0.000, 0.000, 0.500) and N at (0.000, 0.500, 0.000).

As for the crystal system: tetragonal. Its density of states at the Fermi level is 5.09 states/eV/cell. The formation energy (no corrections) comes out at 2.22 eV/atom.


no.,size of the total moment (μB per formula unit)
1,0.7
2,1.3
3,4.8